Entry 1:
Nd2Tl3Hg | GGA-PBE | optimized geometry

Computed properties:
Space-group type   Ibam
Formation energy   -0.29 eV per atom

Lattice parameters (Å, degrees): 9.0252 9.0252 9.0252 135.94 64.12 135.88
Fractional positions:
Nd (0.1493, 0.2466, 0.3959)
Nd (0.3507, 0.7466, 0.0974)
Nd (0.6493, 0.2534, 0.9026)
Nd (0.8507, 0.7534, 0.6041)
Tl (0.1428, 0.7560, 0.8988)
Tl (0.2500, 0.7500, 0.5000)
Tl (0.3572, 0.2560, 0.6132)
Tl (0.6428, 0.7440, 0.3868)
Tl (0.7500, 0.2500, 0.5000)
Tl (0.8572, 0.2440, 0.1012)
Hg (0.2500, 0.2500, 0.0000)
Hg (0.7500, 0.7500, 0.0000)

=====

Entry 2:
Na2AsPb | GGA-PBE | optimized geometry

Computed properties:
Energy relative to the lowest polymorph listed for this composition   226 meV/atom
Space-group type   I-42d
Formation energy   -0.05 eV per atom

Lattice parameters (Å, degrees): 11.0133 11.0133 11.0133 156.22 156.22 33.88
Fractional positions:
Na (0.1006, 0.6250, 0.9756)
Na (0.3750, 0.3506, 0.4756)
Na (0.6494, 0.1250, 0.0244)
Na (0.8750, 0.8994, 0.5244)
As (0.0000, 0.0000, 0.0000)
As (0.7500, 0.2500, 0.5000)
Pb (0.2500, 0.7500, 0.5000)
Pb (0.5000, 0.5000, 0.0000)

=====

Entry 3:
KEu2 | GGA-PBE | optimized geometry

Computed properties:
Space-group type   I4/mmm
Formation energy   0.15 eV per atom

Lattice parameters (Å, degrees): 9.9297 9.9297 9.9297 156.66 156.66 33.24
Fractional positions:
K (0.0000, 0.0000, 0.0000)
Eu (0.3200, 0.3200, 0.0000)
Eu (0.6800, 0.6800, 0.0000)

=====

Entry 4:
Sc3AlRu2 | GGA-PBE | optimized geometry

Computed properties:
Space-group type   P4/mmm
Formation energy   -0.60 eV per atom

Lattice parameters (Å, degrees): 3.2786 3.2786 9.7931 90.00 90.00 90.00
Fractional positions:
Sc (0.0000, 0.0000, 0.0000)
Sc (0.0000, 0.0000, 0.3143)
Sc (0.0000, 0.0000, 0.6857)
Al (0.5000, 0.5000, 0.5000)
Ru (0.5000, 0.5000, 0.1669)
Ru (0.5000, 0.5000, 0.8331)

=====

Entry 5:
Ba2HgC | GGA-PBE | optimized geometry

Computed properties:
Energy relative to the lowest polymorph listed for this composition   461 meV/atom
Space-group type   Cm
Formation energy   0.27 eV per atom

Lattice parameters (Å, degrees): 7.7972 7.7972 8.9622 98.35 98.35 31.92
Fractional positions:
Ba (0.0000, 0.0000, 0.0000)
Ba (0.6127, 0.6127, 0.7057)
Ba (0.7307, 0.7307, 0.1369)
Ba (0.8794, 0.8794, 0.5812)
Hg (0.3089, 0.3089, 0.8572)
Hg (0.4440, 0.4440, 0.2950)
C (0.1780, 0.1780, 0.9285)
C (0.4418, 0.4418, 0.7807)

=====

Entry 6:
SrLa2Ni2 | GGA-PBE | optimized geometry

Computed properties:
Energy relative to the lowest polymorph listed for this composition   127 meV/atom
Space-group type   P4/mbm
Formation energy   0.00 eV per atom

Lattice parameters (Å, degrees): 8.4969 8.4969 3.4340 90.00 90.00 90.00
Fractional positions:
Sr (0.0000, 0.0000, 0.0000)
Sr (0.5000, 0.5000, 0.0000)
La (0.1371, 0.3629, 0.0000)
La (0.3629, 0.8629, 0.0000)
La (0.6371, 0.1371, 0.0000)
La (0.8629, 0.6371, 0.0000)
Ni (0.1625, 0.6625, 0.5000)
Ni (0.3375, 0.1625, 0.5000)
Ni (0.6625, 0.8375, 0.5000)
Ni (0.8375, 0.3375, 0.5000)

=====

Entry 7:
K2AlOs | GGA-PBE | optimized geometry

Computed properties:
Space-group type   Cm
Formation energy   0.56 eV per atom

Lattice parameters (Å, degrees): 4.5822 4.5822 9.9487 92.92 92.92 37.44
Fractional positions:
K (0.0000, 0.0000, 0.0000)
K (0.2155, 0.2155, 0.5664)
Al (0.7505, 0.7505, 0.2590)
Os (0.4789, 0.4789, 0.3084)

=====

Entry 8:
PmInSn4 | GGA-PBE | optimized geometry

Computed properties:
Energy relative to the lowest polymorph listed for this composition   82 meV/atom
Space-group type   P1
Formation energy   -0.12 eV per atom

Lattice parameters (Å, degrees): 4.4988 4.4992 9.1256 90.08 90.25 90.00
Fractional positions:
Pm (0.0000, 0.0000, 0.0000)
In (0.4993, 0.4989, 0.5000)
Sn (0.0005, 0.5004, 0.2592)
Sn (0.4979, 0.9991, 0.7408)
Sn (0.5019, 0.9996, 0.2592)
Sn (0.9986, 0.4992, 0.7409)

=====

Entry 9:
BeZn2BSe | GGA-PBE | optimized geometry

Computed properties:
Space-group type   P4/mmm
Formation energy from raw total energies   0.5980 eV/atom

Lattice parameters (Å, degrees): 4.5888 4.5888 3.5660 90.00 90.00 90.00
Fractional positions:
Be (0.0000, 0.0000, 0.0000)
Zn (0.0000, 0.5000, 0.0000)
Zn (0.5000, 0.0000, 0.0000)
B (0.0000, 0.0000, 0.5000)
Se (0.5000, 0.5000, 0.5000)

=====

Entry 10:
Na2Cu2RhO4 | GGA-PBE | optimized geometry

Computed properties:
Space-group type   C2/m
Formation energy from raw total energies   -0.8008 eV/atom

Lattice parameters (Å, degrees): 7.2691 7.2691 5.5488 103.66 103.66 24.39
Fractional positions:
Na (0.1002, 0.1002, 0.0548)
Na (0.8998, 0.8998, 0.9452)
Cu (0.3015, 0.3015, 0.4231)
Cu (0.6985, 0.6985, 0.5769)
Rh (0.0000, 0.0000, 0.5000)
O (0.1430, 0.1430, 0.6874)
O (0.4735, 0.4735, 0.7202)
O (0.5265, 0.5265, 0.2798)
O (0.8570, 0.8570, 0.3126)

=====

Entry 11:
InReSi2 | GGA-PBE | optimized geometry

Computed properties:
Space-group type   R3m
Formation energy from raw total energies   0.3711 eV/atom

Lattice parameters (Å, degrees): 8.2299 8.2299 8.2299 21.71 21.71 21.71
Fractional positions:
In (0.0000, 0.0000, 0.0000)
Re (0.2389, 0.2389, 0.2389)
Si (0.5015, 0.5015, 0.5015)
Si (0.7615, 0.7615, 0.7615)

=====

Entry 12:
TlCdF3 | GGA-PBE | optimized geometry

Computed properties:
Space-group type   Cm
Formation energy from raw total energies   -2.0209 eV/atom

Lattice parameters (Å, degrees): 7.4270 7.4270 3.5342 90.09 90.09 68.92
Fractional positions:
Tl (0.0000, 0.0000, 0.0000)
Tl (0.5002, 0.5002, 0.3574)
Cd (0.9999, 0.5004, 0.5067)
Cd (0.5004, 0.9999, 0.5067)
F (0.1618, 0.5712, 0.0060)
F (0.1824, 0.1824, 0.5039)
F (0.4291, 0.8381, 0.0046)
F (0.5712, 0.1618, 0.0060)
F (0.8177, 0.8177, 0.5037)
F (0.8381, 0.4291, 0.0046)